Tb12ErSc6: relaxed, GGA-PBE.

Structure (POSCAR):
```
Tb12ErSc6
1.0
7.3313 4.2327 3.2686
-7.3313 4.2327 3.2686
0.0000 -8.4654 3.2686
Tb Er Sc
12 1 6
Cartesian
-2.8459 -3.5363 3.2686
-4.4854 -0.6965 3.2686
0.0000 -1.8850 1.9904
-1.6324 0.9425 1.9904
1.6324 0.9425 1.9904
-4.4854 0.6965 6.5372
-1.6395 4.2327 3.2686
-2.8459 3.5362 6.5372
1.6396 4.2327 3.2686
-1.6324 -0.9425 7.8155
1.6324 -0.9425 7.8155
0.0000 1.8850 7.8155
0.0000 0.0000 4.9029
0.0000 -4.9608 3.7428
-4.2962 2.4804 3.7428
-4.2962 -2.4804 6.0630
4.2962 2.4804 3.7428
4.2962 -2.4804 6.0630
0.0000 4.9608 6.0630
```

## Properties
As for the space group: R-3m. The calculation puts the energy of formation at 437 meV/atom. The value obtained for the volume is 32.03 Å³ per atom. The crystal system is trigonal.

Ga2CuN: relaxed, GGA-PBE.

Structure (POSCAR):
```
Ga2CuN
1.0
-2.7642 2.7642 3.8838
2.7642 -2.7642 3.8838
2.7642 2.7642 -3.8838
Ga Cu N
4 2 2
Cartesian
4.1463 1.0179 -0.9709
1.0179 1.3821 0.9709
-1.3821 1.7463 2.9128
1.7463 1.3821 4.8547
2.7642 0.0000 1.9419
0.0000 0.0000 3.8838
0.0000 0.0000 0.0000
0.0000 2.7642 1.9419
```

## Properties
As for the space group: I-42d. The calculation puts the formation energy (no corrections) at 0.07 eV/atom. The value obtained for the volume is 14.84 Å³ per atom. The crystal system is tetragonal.